[1]
Computed, not measured: a relaxed structure of La3Pr4Ho4 at the PBE level of DFT.

## Properties
* space group: Amm2 (38)
* formation enthalpy at 0 K: 1.834 eV per formula unit

Lattice parameters (Å, degrees): 11.6466 6.4374 6.4374 53.72 90.00 90.00
Closest atoms and distances in Å follow each position.
Atoms (fractional coordinates):
La: 0.0000 0.0000 0.0000  5 Ho 3.53-3.66, 7 Pr 3.57-3.91
La: 0.3184 0.1344 0.1344  4 Pr 3.53-3.67, 4 Ho 3.60-3.71
La: 0.6816 0.1344 0.1344  4 Pr 3.53-3.67, 4 Ho 3.60-3.71
Pr: 0.0000 0.6888 0.6888  4 Ho 3.21-3.36, 2 Pr 3.47, 1 La 3.57
Pr: 0.2238 0.4896 0.4896  4 Ho 3.34-3.49, 1 Pr 3.47, 2 La 3.53
Pr: 0.5000 0.6965 0.6965  3 Ho 3.21-3.55
Pr: 0.7762 0.4896 0.4896  4 Ho 3.34-3.49, 1 Pr 3.47, 2 La 3.53
Ho: 0.0000 0.3071 0.3071  4 Pr 3.21-3.34, 1 La 3.53
Ho: 0.2553 0.8242 0.8242  4 Pr 3.21-3.49
Ho: 0.5000 0.3878 0.3878  5 Pr 3.42-3.65, 2 La 3.60
Ho: 0.7447 0.8242 0.8242  4 Pr 3.21-3.49

=====

[2]
Computed, not measured: a relaxed structure of La3Pr3Ho5 at the PBE level of DFT.

## Properties
* space group: P-62m (189)
* formation enthalpy at 0 K: 7.933 eV per formula unit

Lattice parameters (Å, degrees): 9.6809 9.6809 5.5339 90.00 90.00 120.00
Closest atoms and distances in Å follow each position.
Atoms (fractional coordinates):
La: 0.0000 0.6383 0.0000  2 Pr 3.10, 4 Ho 3.10-3.18
La: 0.3617 0.3617 0.0000  2 Pr 3.10, 4 Ho 3.10-3.18
La: 0.6383 0.0000 0.0000  2 Pr 3.10, 4 Ho 3.10-3.18
Pr: 0.0000 0.4946 0.5000  2 La 3.10, 2 Ho 3.46
Pr: 0.4946 0.0000 0.5000  2 La 3.10, 2 Ho 3.46
Pr: 0.5054 0.5054 0.5000  2 La 3.10, 2 Ho 3.46
Ho: 0.0000 0.2796 0.0000  3 La 3.18-3.47, 2 Pr 3.46, 2 Ho 3.52
Ho: 0.2796 0.0000 0.0000  3 La 3.18-3.47, 2 Pr 3.46, 2 Ho 3.52
Ho: 0.3333 0.6667 0.0000  3 La 3.10
Ho: 0.6667 0.3333 0.0000  3 La 3.10
Ho: 0.7204 0.7204 0.0000  3 La 3.18-3.47, 2 Pr 3.46, 2 Ho 3.52

=====

Among the records above, which one has the lowest formation enthalpy at 0 K?
La3Pr4Ho4

=====

What is the formula in the first record?
La3Pr4Ho4